1.
A plane-wave DFT calculation with GGA-PBE was carried out for an optimized crystal structure of CoP3.

Geometry as CIF:
```
data_CoP3
_cell_length_a 3.274
_cell_length_b 3.394
_cell_length_c 10.557
_cell_angle_alpha 90.00
_cell_angle_beta 90.00
_cell_angle_gamma 90.00
_space_group_name_H-M_alt 'I m m m'
_space_group_IT_number 71
_space_group_name_Hall '-I 2 2'
loop_
_atom_site_label
_atom_site_fract_x
_atom_site_fract_y
_atom_site_fract_z
_atom_site_occupancy
Co1 0.000 0.000 0.000 1
P1 0.000 0.000 0.500 1
P2 0.000 0.500 0.155 1
```

ΔH_f (0 K) = 0.101 eV per atom
ΔE to the lowest computed polymorph = 230.0 kJ/mol of formula units

---

2.
A plane-wave DFT calculation with GGA-PBE was carried out for an optimized crystal structure of CoP3.

Geometry as CIF:
```
data_CoP3
_cell_length_a 3.556
_cell_length_b 3.556
_cell_length_c 18.179
_cell_angle_alpha 90.00
_cell_angle_beta 90.00
_cell_angle_gamma 90.00
_space_group_name_H-M_alt 'I 4/m m m'
_space_group_IT_number 139
_space_group_name_Hall '-I 4 2'
loop_
_atom_site_label
_atom_site_fract_x
_atom_site_fract_y
_atom_site_fract_z
_atom_site_occupancy
Co1 0.000 0.000 0.178 1
P1 0.000 0.000 0.399 1
P2 0.000 0.500 0.000 1
P3 0.000 0.500 0.250 1
```

ΔH_f (0 K) = 0.323 eV per atom
ΔE to the lowest computed polymorph = 315.5 kJ/mol of formula units

---

3.
A plane-wave DFT calculation with GGA-PBE was carried out for an optimized crystal structure of CoP4.

Geometry as CIF:
```
data_CoP4
_cell_length_a 5.321
_cell_length_b 5.321
_cell_length_c 5.321
_cell_angle_alpha 90.00
_cell_angle_beta 90.00
_cell_angle_gamma 90.00
_space_group_name_H-M_alt 'I m -3 m'
_space_group_IT_number 229
_space_group_name_Hall '-I 4 2 3'
loop_
_atom_site_label
_atom_site_fract_x
_atom_site_fract_y
_atom_site_fract_z
_atom_site_occupancy
Co1 0.000 0.000 0.000 1
P1 0.250 0.250 0.250 1
```

ΔH_f (0 K) = 0.364 eV per atom

---

4.
A plane-wave DFT calculation with GGA-PBE was carried out for an optimized crystal structure of CoP.

Geometry as CIF:
```
data_CoP
_cell_length_a 5.062
_cell_length_b 3.269
_cell_length_c 5.541
_cell_angle_alpha 90.00
_cell_angle_beta 90.00
_cell_angle_gamma 90.00
_space_group_name_H-M_alt 'P n m a'
_space_group_IT_number 62
loop_
_space_group_symop_operation_xyz
'x,y,z'
'-x,-y,-z'
'-x+1/2,-y,z+1/2'
'x+1/2,y,-z+1/2'
'x+1/2,-y+1/2,-z+1/2'
'-x+1/2,y+1/2,z+1/2'
'-x,y+1/2,-z'
'x,-y+1/2,z'
loop_
_atom_site_label
_atom_site_fract_x
_atom_site_fract_y
_atom_site_fract_z
_atom_site_occupancy
Co1 0.001 0.250 0.196 1
P1 0.191 0.250 0.582 1
```

ΔH_f (0 K) = -0.583 eV per atom

---

5.
A plane-wave DFT calculation with GGA-PBE was carried out for an optimized crystal structure of CoP3.

Geometry as CIF:
```
data_CoP3
_cell_length_a 4.732
_cell_length_b 4.732
_cell_length_c 4.732
_cell_angle_alpha 90.00
_cell_angle_beta 90.00
_cell_angle_gamma 90.00
_space_group_name_H-M_alt 'I m -3 m'
_space_group_IT_number 229
_space_group_name_Hall '-I 4 2 3'
loop_
_atom_site_label
_atom_site_fract_x
_atom_site_fract_y
_atom_site_fract_z
_atom_site_occupancy
Co1 0.000 0.000 0.000 1
P1 0.000 0.000 0.500 1
```

ΔH_f (0 K) = 0.040 eV per atom
ΔE to the lowest computed polymorph = 206.4 kJ/mol of formula units

---

6.
A plane-wave DFT calculation with GGA-PBE was carried out for an optimized crystal structure of Co4P.

Geometry as CIF:
```
data_Co4P
_cell_length_a 5.065
_cell_length_b 5.065
_cell_length_c 5.065
_cell_angle_alpha 90.00
_cell_angle_beta 90.00
_cell_angle_gamma 90.00
_space_group_name_H-M_alt 'I m -3 m'
_space_group_IT_number 229
_space_group_name_Hall '-I 4 2 3'
loop_
_atom_site_label
_atom_site_fract_x
_atom_site_fract_y
_atom_site_fract_z
_atom_site_occupancy
Co1 0.250 0.250 0.250 1
P1 0.000 0.000 0.000 1
```

ΔH_f (0 K) = 0.264 eV per atom
ΔE to the lowest computed polymorph = 182.5 kJ/mol of formula units

---

7.
A plane-wave DFT calculation with GGA-PBE was carried out for an optimized crystal structure of CoP3.

Geometry as CIF:
```
data_CoP3
_cell_length_a 6.7646
_cell_length_b 6.7646
_cell_length_c 5.3975
_cell_angle_alpha 90.00
_cell_angle_beta 90.00
_cell_angle_gamma 120.00
_space_group_name_H-M_alt 'P 63/m m c'
_space_group_IT_number 194
_space_group_name_Hall '-P 6c 2c'
loop_
_atom_site_label
_atom_site_fract_x
_atom_site_fract_y
_atom_site_fract_z
_atom_site_occupancy
Co1 0.0000 0.0000 0.0000 1
Co2 0.3333 0.6667 0.2500 1
P1 0.0000 0.5000 0.0000 1
P2 0.1590 0.3179 0.7500 1
```

ΔH_f (0 K) = 0.059 eV per atom
ΔE to the lowest computed polymorph = 213.5 kJ/mol of formula units

---

8.
A plane-wave DFT calculation with GGA-PBE was carried out for an optimized crystal structure of CoP3.

Geometry as CIF:
```
data_CoP3
_cell_length_a 7.719
_cell_length_b 7.719
_cell_length_c 7.719
_cell_angle_alpha 90.00
_cell_angle_beta 90.00
_cell_angle_gamma 90.00
_space_group_name_H-M_alt 'I m -3'
_space_group_IT_number 204
_space_group_name_Hall '-I 2 2 3'
loop_
_atom_site_label
_atom_site_fract_x
_atom_site_fract_y
_atom_site_fract_z
_atom_site_occupancy
Co1 0.250 0.250 0.250 1
P1 0.000 0.146 0.348 1
```

ΔH_f (0 K) = -0.495 eV per atom
ΔE to the lowest computed polymorph = 0.0 kJ/mol of formula units

---

How do the records compare in M_tot? In the order shown, they have 0.0; 0.0; 0.0; 0.0; 0.0; 10.5; 0.0; 0.0 Bohr magnetons per cell.
How do the records compare in final energy? In the order shown, they have -5.733; -5.511; -5.385; -6.841; -5.794; -6.503; -5.775; -6.329 eV/atom.